The following is a PBE-GGA calculation of a geometry-optimized Nb2AsW2 structure, from Alexandria via LeMat-Bulk.

Cell and atoms, written as extended XYZ:
```
5
Lattice="4.254 0.000 0.000 0.000 4.254 0.000 2.127 2.127 5.621" Properties=species:S:1:pos:R:3 pbc="T T T"
Nb 4.254 2.127 2.810
W 4.254 4.254 4.375
W 2.127 2.127 1.246
As 0.000 0.000 0.000
Nb 2.127 4.254 2.810
```

The calculated formation energy is 5.2 eV per formula unit. The raw total energy is -9.106 eV/atom. As for the polymorph energy (0 for the lowest one): 0.409 eV/atom.